1.
## Rb2U2PaSe6 (GGA-PBE)

Data for crystalline Rb2U2PaSe6 at its relaxed geometry.

Cell: 7.1943 7.1943 8.6474 Å, 98.01 98.01 119.94°
Last column: nearest neighbours and their distance in Å.
Element x y z (fractional)
Rb1 0.8327 0.1673 0.0000  6 Se 3.48-3.49
Rb2 0.1673 0.8327 0.0000  6 Se 3.48-3.49
U1 0.3338 0.6662 0.5000  6 Se 2.90-2.91
U2 0.6662 0.3338 0.5000  6 Se 2.90-2.91
Pa1 0.0000 0.0000 0.5000  6 Se 2.88
Se1 0.7349 0.7349 0.6957  1 Pa 2.88, 2 U 2.90
Se2 0.0655 0.3959 0.6953  1 Pa 2.88, 2 U 2.90-2.91
Se3 0.2651 0.2651 0.3043  1 Pa 2.88, 2 U 2.90
Se4 0.3959 0.0655 0.6953  1 Pa 2.88, 2 U 2.90-2.91
Se5 0.9345 0.6041 0.3047  1 Pa 2.88, 2 U 2.90-2.91
Se6 0.6041 0.9345 0.3047  1 Pa 2.88, 2 U 2.90-2.91

ρ (g cm⁻³): 6.03
Space group: C2/m (12)
ΔE_f (raw) (eV/f.u.): -14.14

2.
## BaPuP2 (GGA-PBE)

Data for crystalline BaPuP2 at its relaxed geometry.

Cell: 4.1930 4.1930 7.7450 Å, 74.29 74.29 60.00°
Last column: nearest neighbours and their distance in Å.
Element x y z (fractional)
Ba1 0.4975 0.4975 0.5074  6 P 3.25-3.34
Pu1 0.6677 0.6677 0.9970  6 P 2.82
P1 0.0661 0.0661 0.8016  3 Pu 2.82
P2 0.2687 0.2687 0.1940  3 Pu 2.82

ΔH_f (0 K) (eV per atom): -0.92
ρ (g cm⁻³): 6.57
Space group: R3m (160)
Relative energy among the computed polymorphs (meV per atom): 57

3.
## PmPrWN4 (GGA-PBE)

Data for crystalline PmPrWN4 at its relaxed geometry.

Cell: 3.9671 3.9671 6.8878 Å, 106.74 106.74 90.00°
Last column: nearest neighbours and their distance in Å.
Element x y z (fractional)
Pm1 0.3542 0.3542 0.7084  1 N 2.35
Pr1 0.6453 0.6453 0.2905  1 N 2.40
W1 0.9974 0.9974 0.9948  6 N 1.98-2.14
N1 0.9998 0.4998 0.9995  2 W 1.98
N2 0.4998 0.9998 0.9995  2 W 1.98
N3 0.8360 0.8360 0.6721  1 W 2.03
N4 0.1676 0.1676 0.3352  1 W 2.14, 1 Pm 2.35

ρ (g cm⁻³): 8.82
Space group: I4mm (107)
ΔE_f (raw) (eV/f.u.): -7.35

Question: The highest ρ belongs to which entry?
Answer: PmPrWN4